A relaxed K2TlFe crystal. Source: the Alexandria database, functional PBE.

Computed properties:
DOS at the Fermi energy in states/eV per cell: 2.35
Total magnetization in μB/f.u.: 3.0
DFT formation energy in eV per atom: 0.71
Energy above the most stable polymorph in this dataset in eV per formula unit: 1.00
V in Å³/cell: 129
Space-group type: No. 139

a b c (Å): 6.6302 6.6302 6.6302
angles (deg): 138.11 138.11 60.74
Sites, in units of the cell vectors:
K: 0.2500 0.7500 0.5000
K: 0.7500 0.2500 0.5000
Tl: 0.0000 0.0000 0.0000
Fe: 0.5000 0.5000 0.0000